A relaxed structure of Co2HgRh, computed with GGA-PBE.

a b c (Å): 2.9239 2.9239 6.7457
angles (deg): 90.00 90.00 90.00
Last column: nearest neighbours and their distance in Å.
Space group P4mm (No. 99)
Unique sites:
Co: 0.0000 0.0000 0.0000 [1 per cell]  4 Co 2.40, 4 Rh 2.58
Co: 0.5000 0.5000 0.1811 [1 per cell]  4 Co 2.40
Hg: 0.0000 0.0000 0.4689 [1 per cell]  5 Co 2.84-3.16, 4 Rh 2.91, 4 Hg 2.92
Rh: 0.5000 0.5000 0.7721 [1 per cell]  5 Co 2.58-2.76

The formation energy from the elements comes out at 217 meV per atom.